1.
# Tb2Pm5Te12, optimized geometry, DFT PBE
# - N(E_F) (states/eV/cell) = 9.5
# - E_form (uncorrected) (eV/f.u.) = -22.6
data_Tb2Pm5Te12
_chemical_formula_sum 'Tb4 Pm10 Te24'
_space_group_name_H-M_alt 'C 1 2/m 1'
_space_group_IT_number 12
_space_group_name_Hall '-C 2y'
_cell_length_a 17.043
_cell_length_b 8.343
_cell_length_c 10.031
_cell_angle_alpha 90.00
_cell_angle_beta 103.18
_cell_angle_gamma 90.00
loop_
_atom_site_label
_atom_site_fract_x
_atom_site_fract_y
_atom_site_fract_z
_atom_site_occupancy
Tb1 0.000 0.246 0.000 1
Pm1 0.000 0.500 0.500 1
Pm2 0.173 0.000 0.810 1
Pm3 0.209 0.000 0.355 1
Te1 0.013 0.000 0.230 1
Te2 0.032 0.500 0.215 1
Te3 0.147 0.247 0.564 1
Te4 0.183 0.250 0.084 1

***

2.
# LiLa2FeH6, optimized geometry, DFT PBE
# - N(E_F) (states/eV/cell) = 4.3
data_LiLa2FeH6
_chemical_formula_sum 'Li1 La2 Fe1 H6'
_space_group_name_H-M_alt 'P -3 m 1'
_space_group_IT_number 164
_space_group_name_Hall '-P 3 2"'
_cell_length_a 5.0853
_cell_length_b 5.0853
_cell_length_c 4.8161
_cell_angle_alpha 90.00
_cell_angle_beta 90.00
_cell_angle_gamma 120.00
loop_
_atom_site_label
_atom_site_fract_x
_atom_site_fract_y
_atom_site_fract_z
_atom_site_occupancy
Li1 0.0000 0.0000 0.0000 1
La1 0.3333 0.6667 0.7339 1
Fe1 0.0000 0.0000 0.5000 1
H1 0.1563 0.3126 0.2872 1

***

3.
# CaP2OsCl, optimized geometry, DFT PBE
# - N(E_F) (states/eV/cell) = 6.0
# - E_form (uncorrected) (eV/f.u.) = 7.5
# - polymorph energy (0 for the lowest one) (meV per atom) = 1718
data_CaP2OsCl
_chemical_formula_sum 'Ca1 P2 Os1 Cl1'
_space_group_name_H-M_alt 'P 4/m m m'
_space_group_IT_number 123
_space_group_name_Hall '-P 4 2'
_cell_length_a 5.292
_cell_length_b 5.292
_cell_length_c 4.892
_cell_angle_alpha 90.00
_cell_angle_beta 90.00
_cell_angle_gamma 90.00
loop_
_atom_site_label
_atom_site_fract_x
_atom_site_fract_y
_atom_site_fract_z
_atom_site_occupancy
Ca1 0.000 0.000 0.000 1
P1 0.000 0.500 0.000 1
Os1 0.500 0.500 0.500 1
Cl1 0.000 0.000 0.500 1

***

| no. | E_tot (eV per atom) |
| --- | --- |
| 1 | -4.91 |
| 2 | -4.43 |
| 3 | -3.67 |